CsPrCoF6: optimized geometry, PBE+U.

* spin magnetization: 0.3333 μB per atom
* VASP energy: -50.1 eV per formula unit
* calculated density: 4.6 g/cm³

a b c (Å): 7.627 7.627 7.627
angles (deg): 119.97 116.45 93.15
Atoms (fractional coordinates):
Cs 0.341 0.091 0.250
Cs 0.659 0.909 0.750
Pr 0.000 0.500 0.500
Pr 0.500 0.500 0.000
Co 0.000 0.000 0.500
Co 0.000 0.500 0.000
F 0.052 0.353 0.172
F 0.052 0.880 0.699
F 0.089 0.339 0.750
F 0.319 0.120 0.672
F 0.319 0.647 0.199
F 0.365 0.615 0.750
F 0.635 0.385 0.250
F 0.681 0.353 0.801
F 0.681 0.880 0.328
F 0.911 0.661 0.250
F 0.948 0.120 0.301
F 0.948 0.647 0.828